Crystalline Ba3LiH at its relaxed geometry, computed with PBE.

Unit cell a=5.8743 b=5.8743 c=5.8743 alpha=90.00 beta=90.00 gamma=90.00
Atoms (fractional coordinates):
H: 0.0000 0.0000 0.0000
Ba: 0.0000 0.5000 0.0000
Ba: 0.0000 0.0000 0.5000
Ba: 0.5000 0.0000 0.0000
Li: 0.5000 0.5000 0.5000

Computed properties:
electronic total energy = -2.278 eV per atom
symmetry = Pm-3m (221)

=====

Crystalline Ca3MgO4 at its relaxed geometry, computed with PBE.

Unit cell a=4.7816 b=6.7045 c=7.7379 alpha=90.00 beta=90.00 gamma=90.00
Atoms (fractional coordinates):
Ca: 0.5613 0.8491 0.0000
Ca: 0.0615 0.6710 0.2486
Ca: 0.5615 0.3290 0.2514
Ca: 0.0613 0.1509 0.5000
Ca: 0.5615 0.3290 0.7486
Ca: 0.0615 0.6710 0.7514
Mg: 0.0385 0.1736 0.0000
Mg: 0.5385 0.8264 0.5000
O: 0.0666 0.8656 0.0000
O: 0.5918 0.1765 0.0000
O: 0.0670 0.3224 0.2338
O: 0.5670 0.6776 0.2662
O: 0.0918 0.8235 0.5000
O: 0.5666 0.1344 0.5000
O: 0.5670 0.6776 0.7338
O: 0.0670 0.3224 0.7662

Computed properties:
energy relative to the elements, uncorrected = -2.79 eV/atom
electronic total energy = -6.217 eV per atom
symmetry = Pmn2_1 (31)

=====

Crystalline NaU2ZnO8 at its relaxed geometry, computed with PBE.

Unit cell a=5.3377 b=5.3377 c=6.3866 alpha=114.70 beta=114.70 gamma=90.00
Each line ends with the local moment (μB).
Atoms (fractional coordinates):
Na: 0.7500 0.2500 0.5000  0.00
U: 0.5000 0.5000 0.0000  -0.08
U: 0.2500 0.7500 0.5000  -0.07
Zn: 0.0000 0.0000 0.0000  0.02
O: 0.8562 0.8436 0.2993  0.11
O: 0.4431 0.4557 0.2993  0.11
O: 0.6425 0.7088 0.8099  0.13
O: 0.1674 0.1011 0.8099  0.13
O: 0.8989 0.3575 0.1901  0.13
O: 0.2912 0.8326 0.1901  0.13
O: 0.1564 0.5569 0.7007  0.11
O: 0.5443 0.1438 0.7007  0.11

Computed properties:
energy relative to the elements, uncorrected = -2.37 eV/atom
electronic total energy = -7.770 eV per atom
symmetry = I-4 (82)

=====

Crystalline LaHf2Os2 at its relaxed geometry, computed with PBE.

Unit cell a=4.4087 b=4.4087 c=6.5690 alpha=70.39 beta=70.39 gamma=90.00
Atoms (fractional coordinates):
Hf: 0.7500 0.2500 0.5000
Hf: 0.2500 0.7500 0.5000
Os: 0.3876 0.3876 0.2249
Os: 0.6124 0.6124 0.7751
La: 0.0000 0.0000 0.0000

Computed properties:
electronic total energy = -9.833 eV per atom
formation energy = -0.37 eV/atom
symmetry = I4/mmm (139)

=====

Crystalline FeNiRh2N at its relaxed geometry, computed with PBE.

Unit cell a=4.0240 b=4.0240 c=3.7748 alpha=90.00 beta=90.00 gamma=90.00
Each line ends with the local moment (μB).
Atoms (fractional coordinates):
Ni: 0.5000 0.5000 0.5000  0.95
Rh: 0.0000 0.5000 0.0000  0.40
Rh: 0.5000 0.0000 0.0000  0.40
Fe: 0.0000 0.0000 0.5000  2.48
N: 0.0000 0.0000 0.0000  -0.03

Computed properties:
energy relative to the elements, uncorrected = 0.17 eV/atom
electronic total energy = -7.284 eV per atom
symmetry = P4/mmm (123)

=====

Crystalline BaTcS2 at its relaxed geometry, computed with PBE.

Unit cell a=3.9632 b=7.2388 c=8.1396 alpha=110.22 beta=97.79 gamma=90.01
Atoms (fractional coordinates):
S: 0.4170 0.8320 0.3682
S: 0.3006 0.1610 0.8991
S: 0.1679 0.3483 0.3548
S: 0.3089 0.6055 0.8836
Ba: 0.8565 0.9469 0.0684
Ba: 0.7366 0.2881 0.6532
Tc: 0.8776 0.5988 0.2880
Tc: 0.3311 0.4799 0.1185

Computed properties:
energy relative to the elements, uncorrected = -1.01 eV/atom
electronic total energy = -6.145 eV per atom
symmetry = P1 (1)

=====

Crystalline TlGeAu at its relaxed geometry, computed with PBE.

Unit cell a=7.8200 b=8.7429 c=4.3674 alpha=90.00 beta=90.00 gamma=90.00
Atoms (fractional coordinates):
Tl: 0.0000 0.0000 0.0000
Tl: 0.5000 0.5000 0.5000
Tl: 0.5000 0.0000 0.5000
Tl: 0.0000 0.5000 0.0000
Au: 0.6726 0.2500 0.9998
Au: 0.8274 0.7500 0.4998
Au: 0.3274 0.7500 0.0002
Au: 0.1726 0.2500 0.5002
Ge: 0.3443 0.2500 0.0002
Ge: 0.1557 0.7500 0.5002
Ge: 0.6557 0.7500 0.9998
Ge: 0.8443 0.2500 0.4998

Computed properties:
electronic total energy = -3.294 eV per atom
formation energy = 0.13 eV/atom
symmetry = Cmcm (63)

=====

Crystalline Li2TeRh at its relaxed geometry, computed with PBE.

Unit cell a=4.7990 b=4.7990 c=3.1574 alpha=90.00 beta=90.00 gamma=113.35
Atoms (fractional coordinates):
Li: 0.0000 0.0000 0.0000
Li: 0.5000 0.5000 0.0000
Rh: 0.5000 0.0000 0.5000
Te: 0.0000 0.5000 0.5000

Computed properties:
energy relative to the elements, uncorrected = -0.34 eV/atom
electronic total energy = -3.916 eV per atom
symmetry = Cmmm (65)

=====

Crystalline Li2TiPO4F at its relaxed geometry, computed with PBE.

Unit cell a=5.4662 b=5.4922 c=7.2514 alpha=106.15 beta=106.80 gamma=95.82
Each line ends with the local moment (μB).
Atoms (fractional coordinates):
P: 0.6324 0.3384 0.7328  0.01
P: 0.3728 0.6457 0.2357  0.02
F: 0.8665 0.2031 0.2482  0.01
F: 0.0993 0.8656 0.7303  0.01
Li: 0.4544 0.8561 0.8775  0.00
Li: 0.8165 0.4899 0.1357  0.01
Li: 0.0646 0.5206 0.5413  0.00
Li: 0.5307 0.2122 0.3041  0.00
O: 0.2066 0.7054 0.3786  0.01
O: 0.7979 0.2875 0.5891  0.00
O: 0.6696 0.6832 0.3493  0.00
O: 0.3390 0.8392 0.1118  0.00
O: 0.6710 0.1504 0.8596  0.00
O: 0.7200 0.6188 0.8876  0.01
O: 0.3442 0.3038 0.5992  0.00
O: 0.2813 0.3570 0.1058  0.00
Ti: 0.9981 0.9944 0.0075  1.66
Ti: 0.0036 0.0008 0.4645  1.60

Computed properties:
energy relative to the elements, uncorrected = -2.37 eV/atom
electronic total energy = -6.681 eV per atom
symmetry = P1 (1)

=====

Crystalline Ca2RuBr at its relaxed geometry, computed with PBE.

Unit cell a=7.6470 b=7.6470 c=6.6387 alpha=54.83 beta=54.83 gamma=90.00
Each line ends with the local moment (μB).
Atoms (fractional coordinates):
Ru: 0.0000 0.0000 0.0000  0.96
Ru: 0.7500 0.2500 0.5000  0.95
Ca: 0.6436 0.1250 0.2500  -0.02
Ca: 0.1064 0.6250 0.2500  -0.02
Ca: 0.3750 0.3564 0.7500  -0.02
Ca: 0.8750 0.8936 0.7500  -0.02
Br: 0.5000 0.5000 0.0000  0.02
Br: 0.2500 0.7500 0.5000  0.02

Computed properties:
energy relative to the elements, uncorrected = -0.06 eV/atom
electronic total energy = -3.802 eV per atom
symmetry = I-42d (122)

=====

Crystalline EuTmPd at its relaxed geometry, computed with PBE.

Unit cell a=3.5788 b=3.5788 c=6.8247 alpha=105.20 beta=105.20 gamma=90.00
Each line ends with the local moment (μB).
Atoms (fractional coordinates):
Eu: 0.0227 0.0227 0.0454  6.90
Tm: 0.2931 0.2931 0.5863  0.13
Pd: 0.6842 0.6842 0.3684  0.02

Computed properties:
electronic total energy = -7.172 eV per atom
formation energy = -0.53 eV/atom
symmetry = I4mm (107)

=====

Crystalline CeZn2CuPd2 at its relaxed geometry, computed with PBE.

Unit cell a=4.5402 b=4.5402 c=5.5440 alpha=90.00 beta=90.00 gamma=90.00
Each line ends with the local moment (μB).
Atoms (fractional coordinates):
Ce: 0.0000 0.0000 0.5000  0.83
Zn: 0.5000 0.0000 0.0000  0.00
Zn: 0.0000 0.5000 0.0000  0.00
Cu: 0.0000 0.0000 0.0000  0.00
Pd: 0.5000 0.5000 0.7427  -0.02
Pd: 0.5000 0.5000 0.2573  -0.02

Computed properties:
electronic total energy = -4.033 eV per atom
formation energy = -0.21 eV/atom
symmetry = P4/mmm (123)

=====

Crystalline TiAuSe2 at its relaxed geometry, computed with PBE.

Unit cell a=8.3144 b=8.3144 c=8.3144 alpha=24.63 beta=24.63 gamma=24.63
Atoms (fractional coordinates):
Au: 0.0000 0.0000 0.0000
Se: 0.8972 0.8972 0.8972
Se: 0.1028 0.1028 0.1028
Ti: 0.5000 0.5000 0.5000

Computed properties:
energy relative to the elements, uncorrected = -0.71 eV/atom
electronic total energy = -5.244 eV per atom
symmetry = R-3m (166)